The following is a PBE calculation of crystalline LaPOsCl2 at its relaxed geometry, from Alexandria via LeMat-Bulk.

Results
total energy = -22.72 eV per cell
excess energy over the best structure of this formula in the dataset = 884 meV per atom
total magnetization = 0.756 μB per atom
formation energy from raw total energies = 0.508 eV/atom

a b c (Å): 5.354 5.354 5.993
angles (deg): 90.00 90.00 90.00
Space group P4/mmm (No. 123)
Inequivalent atoms, fractional coordinates:
La: 0.000 0.000 0.000 [1 per cell]
P: 0.000 0.000 0.500 [1 per cell]
Os: 0.500 0.500 0.500 [1 per cell]
Cl: 0.000 0.500 0.000 [2 per cell]